No. 1
This record from the Alexandria database describes a relaxed Ti2CdSe2 crystal. The functional is GGA-PBE.

Computed properties:
Magnetization: 0.00 μB/atom
E_form (uncorrected): -8.00 kcal/mol of atoms
Crystal system: tetragonal
D(E_F): 12.1 states/eV per cell

a = 4.5318 Å, b = 4.5318 Å, c = 10.5645 Å
α = 90.00°, β = 90.00°, γ = 90.00°
Last column: nearest neighbours and their distance in Å.
Space group I4/mmm (No. 139)
Asymmetric unit:
1 Ti 0.0000 0.0000 0.1289 x4  4 Se 2.60, 1 Ti 2.72
2 Cd 0.0000 0.0000 0.5000 x2  8 Se 3.48, 8 Ti 3.48
3 Se 0.0000 0.5000 0.2500 x4  4 Ti 2.60

***

No. 2
This record from the Alexandria database describes a relaxed TiNbPdRu crystal. The functional is GGA-PBE.

Computed properties:
Magnetization: 0.00 μB/atom
Crystal system: cubic
D(E_F): 16.6 states/eV per cell
DFT formation energy: -1.3 eV per formula unit

a = 6.3501 Å, b = 6.3501 Å, c = 6.3501 Å
α = 90.00°, β = 90.00°, γ = 90.00°
Last column: nearest neighbours and their distance in Å.
Space group F-43m (No. 216)
Asymmetric unit:
1 Ti 0.0000 0.0000 0.0000 x4  4 Ru 2.75, 4 Pd 2.75
2 Nb 0.0000 0.0000 0.5000 x4  4 Ru 2.75, 4 Pd 2.75
3 Pd 0.2500 0.2500 0.7500 x4  4 Nb 2.75, 4 Ti 2.75
4 Ru 0.2500 0.2500 0.2500 x4  4 Nb 2.75, 4 Ti 2.75